No. 1
# PBE HoCoTc, optimized geometry
data_HoCoTc
_chemical_formula_sum 'Ho4 Co4 Tc4'
_symmetry_space_group_name_H-M 'F -4 3 m'
_symmetry_Int_Tables_number 216
_symmetry_space_group_name_Hall 'F -4 2 3'
_cell_length_a 6.229
_cell_length_b 6.229
_cell_length_c 6.229
_cell_angle_alpha 90.00
_cell_angle_beta 90.00
_cell_angle_gamma 90.00
loop_
_atom_site_label
_atom_site_fract_x
_atom_site_fract_y
_atom_site_fract_z
Ho1 0.000 0.000 0.000
Co1 0.250 0.250 0.250
Tc1 0.250 0.250 0.750
# E: -6.155 eV per atom
# magnetic moment: 12.6 μB/cell
# crystal system: cubic



No. 2
# PBE Ho6CoTe2, optimized geometry
data_Ho6CoTe2
_chemical_formula_sum 'Ho6 Co1 Te2'
_symmetry_space_group_name_H-M 'P -6 2 m'
_symmetry_Int_Tables_number 189
_symmetry_space_group_name_Hall 'P -6 -2'
_cell_length_a 8.3131
_cell_length_b 8.3131
_cell_length_c 3.8988
_cell_angle_alpha 90.00
_cell_angle_beta 90.00
_cell_angle_gamma 120.00
loop_
_atom_site_label
_atom_site_fract_x
_atom_site_fract_y
_atom_site_fract_z
Ho1 0.0000 0.2357 0.0000
Ho2 0.0000 0.6013 0.5000
Co1 0.0000 0.0000 0.5000
Te1 0.3333 0.6667 0.0000
# E: -5.203 eV per atom
# magnetic moment: 0.0 μB/cell
# crystal system: hexagonal



No. 3
# PBE Ho2CoTe6, optimized geometry
data_Ho2CoTe6
_chemical_formula_sum 'Ho2 Co1 Te6'
_symmetry_space_group_name_H-M 'P -6 2 m'
_symmetry_Int_Tables_number 189
_symmetry_space_group_name_Hall 'P -6 -2'
_cell_length_a 8.3193
_cell_length_b 8.3193
_cell_length_c 3.8902
_cell_angle_alpha 90.00
_cell_angle_beta 90.00
_cell_angle_gamma 120.00
loop_
_atom_site_label
_atom_site_fract_x
_atom_site_fract_y
_atom_site_fract_z
Ho1 0.3333 0.6667 0.0000
Co1 0.0000 0.0000 0.5000
Te1 0.0000 0.2196 0.0000
Te2 0.0000 0.5504 0.5000
# E: -4.566 eV per atom
# magnetic moment: 0.3 μB/cell
# crystal system: hexagonal



No. 4
# PBE Ho5CoTe3, optimized geometry
data_Ho5CoTe3
_chemical_formula_sum 'Ho5 Co1 Te3'
_symmetry_space_group_name_H-M 'P -6 2 m'
_symmetry_Int_Tables_number 189
_symmetry_space_group_name_Hall 'P -6 -2'
_cell_length_a 8.5006
_cell_length_b 8.5006
_cell_length_c 3.7265
_cell_angle_alpha 90.00
_cell_angle_beta 90.00
_cell_angle_gamma 120.00
loop_
_atom_site_label
_atom_site_fract_x
_atom_site_fract_y
_atom_site_fract_z
Ho1 0.0000 0.2242 0.0000
Ho2 0.3333 0.6667 0.0000
Co1 0.0000 0.0000 0.5000
Te1 0.0000 0.6059 0.5000
# E: -4.959 eV per atom
# magnetic moment: 0.0 μB/cell
# crystal system: hexagonal
# energy above the most stable polymorph in this dataset: 0 meV/atom



No. 5
# PBE Ho5CoTe3, optimized geometry
data_Ho5CoTe3
_chemical_formula_sum 'Ho5 Co1 Te3'
_symmetry_space_group_name_H-M 'P -6 2 m'
_symmetry_Int_Tables_number 189
_symmetry_space_group_name_Hall 'P -6 -2'
_cell_length_a 8.1460
_cell_length_b 8.1460
_cell_length_c 4.0761
_cell_angle_alpha 90.00
_cell_angle_beta 90.00
_cell_angle_gamma 120.00
loop_
_atom_site_label
_atom_site_fract_x
_atom_site_fract_y
_atom_site_fract_z
Ho1 0.0000 0.6741 0.0000
Ho2 0.3333 0.6667 0.5000
Co1 0.0000 0.0000 0.0000
Te1 0.0000 0.2586 0.5000
# E: -4.857 eV per atom
# magnetic moment: 0.0 μB/cell
# crystal system: hexagonal
# energy above the most stable polymorph in this dataset: 102 meV/atom



No. 6
# PBE Ho7Co2Te2, optimized geometry
data_Ho7Co2Te2
_chemical_formula_sum 'Ho14 Co4 Te4'
_symmetry_space_group_name_H-M 'I m m 2'
_symmetry_Int_Tables_number 44
_cell_length_a 3.822
_cell_length_b 15.608
_cell_length_c 9.451
_cell_angle_alpha 90.00
_cell_angle_beta 90.00
_cell_angle_gamma 90.00
loop_
_symmetry_equiv_pos_as_xyz
'x,y,z'
'-x,-y,z'
'-x,y,z'
'x,-y,z'
'x+1/2,y+1/2,z+1/2'
'-x+1/2,-y+1/2,z+1/2'
'-x+1/2,y+1/2,z+1/2'
'x+1/2,-y+1/2,z+1/2'
loop_
_atom_site_label
_atom_site_fract_x
_atom_site_fract_y
_atom_site_fract_z
Ho1 0.000 0.000 0.000
Ho2 0.000 0.134 0.418
Ho3 0.000 0.314 0.623
Ho4 0.000 0.352 0.271
Co1 0.000 0.237 0.929
Te1 0.000 0.000 0.663
Te2 0.000 0.500 0.766
# E: -5.384 eV per atom
# magnetic moment: 0.0 μB/cell
# crystal system: orthorhombic